Material: P2RhWO
Method: DFT, GGA+U
State: relaxed

DFT total energy = -29.07 eV for the cell shown
Spin magnetization = 0.71 μB/cell

abc: 4.8077 4.8077 3.7387
angles: 90.00 90.00 90.00
Sites, in units of the cell vectors:
1 P 0.0000 0.5000 0.0000
2 P 0.5000 0.0000 0.0000
3 Rh 0.0000 0.0000 0.5000
4 W 0.5000 0.5000 0.0000
5 O 0.5000 0.5000 0.5000